# 1
! AcTh2Sn | the Alexandria database | PBE | relaxed; values from VASP
&SYSTEM
  ibrav = 0, nat = 4, ntyp = 3
/
ATOMIC_SPECIES
Ac 227.00 Ac.upf
Th 232.04 Th.upf
Sn 118.71 Sn.upf
ATOMIC_POSITIONS crystal
Ac 0.0000 0.0000 0.0000
Th 0.0000 0.5000 0.5000
Th 0.5000 0.0000 0.5000
Sn 0.5000 0.5000 0.0000
CELL_PARAMETERS angstrom
5.0471 0.0000 0.0000
0.0000 5.0471 0.0000
0.0000 0.0000 5.0550
! DFT formation energy ... -0.94 eV/f.u.
! Energy above the most stable polymorph in this dataset ... 0 meV per atom


# 2
! AcTh2Sn | the Alexandria database | PBE | relaxed; values from VASP
&SYSTEM
  ibrav = 0, nat = 12, ntyp = 3
/
ATOMIC_SPECIES
Ac 227.00 Ac.upf
Th 232.04 Th.upf
Sn 118.71 Sn.upf
ATOMIC_POSITIONS crystal
Ac 0.0000 0.0000 0.0000
Ac 0.3333 0.6667 0.6667
Ac 0.6667 0.3333 0.3333
Th 0.0000 0.0000 0.2425
Th 0.0000 0.0000 0.7575
Th 0.3333 0.6667 0.4241
Th 0.3333 0.6667 0.9092
Th 0.6667 0.3333 0.0908
Th 0.6667 0.3333 0.5759
Sn 0.0000 0.0000 0.5000
Sn 0.3333 0.6667 0.1667
Sn 0.6667 0.3333 0.8333
CELL_PARAMETERS angstrom
3.7290 0.0000 0.0000
-1.8645 3.2294 0.0000
0.0000 0.0000 33.5008
! DFT formation energy ... -0.16 eV/f.u.
! Energy above the most stable polymorph in this dataset ... 193 meV per atom


# 3
! AcThSn | the Alexandria database | PBE | relaxed; values from VASP
&SYSTEM
  ibrav = 0, nat = 6, ntyp = 3
/
ATOMIC_SPECIES
Ac 227.00 Ac.upf
Th 232.04 Th.upf
Sn 118.71 Sn.upf
ATOMIC_POSITIONS crystal
Ac 0.0000 0.0000 0.0000
Ac 0.5000 0.5000 0.5000
Th 0.0000 0.0000 0.1914
Th 0.5000 0.5000 0.6914
Sn 0.0000 0.0000 0.8159
Sn 0.5000 0.5000 0.3159
CELL_PARAMETERS angstrom
3.5118 0.0000 0.0000
0.0000 3.5118 0.0000
0.0000 0.0000 18.0703
! DFT formation energy ... 0.84 eV/f.u.
! Energy above the most stable polymorph in this dataset ... 769 meV per atom


# 4
! AcThSn2 | the Alexandria database | PBE | relaxed; values from VASP
&SYSTEM
  ibrav = 0, nat = 4, ntyp = 3
/
ATOMIC_SPECIES
Ac 227.00 Ac.upf
Th 232.04 Th.upf
Sn 118.71 Sn.upf
ATOMIC_POSITIONS crystal
Ac 0.0000 0.0000 0.0000
Th 0.0000 0.0000 0.5000
Sn 0.5000 0.5000 0.2609
Sn 0.5000 0.5000 0.7391
CELL_PARAMETERS angstrom
3.6730 0.0000 0.0000
0.0000 3.6730 0.0000
0.0000 0.0000 9.1610
! DFT formation energy ... -2.17 eV/f.u.


# 5
! Ac4ThSn5 | the Alexandria database | PBE | relaxed; values from VASP
&SYSTEM
  ibrav = 0, nat = 10, ntyp = 3
/
ATOMIC_SPECIES
Ac 227.00 Ac.upf
Th 232.04 Th.upf
Sn 118.71 Sn.upf
ATOMIC_POSITIONS crystal
Ac 0.0000 0.0000 0.1014
Ac 0.0000 0.0000 0.3047
Ac 0.0000 0.0000 0.6953
Ac 0.0000 0.0000 0.8986
Th 0.0000 0.0000 0.5000
Sn 0.5000 0.5000 0.0000
Sn 0.5000 0.5000 0.2036
Sn 0.5000 0.5000 0.4072
Sn 0.5000 0.5000 0.5928
Sn 0.5000 0.5000 0.7964
CELL_PARAMETERS angstrom
3.7698 0.0000 0.0000
0.0000 3.7698 0.0000
0.0000 0.0000 22.9664
! DFT formation energy ... -5.83 eV/f.u.


# 6
! AcThSn2 | the Alexandria database | PBE | relaxed; values from VASP
&SYSTEM
  ibrav = 0, nat = 16, ntyp = 3
/
ATOMIC_SPECIES
Ac 227.00 Ac.upf
Th 232.04 Th.upf
Sn 118.71 Sn.upf
ATOMIC_POSITIONS crystal
Ac 0.1945 0.1258 0.1402
Ac 0.1945 0.8742 0.6402
Ac 0.8055 0.1258 0.3598
Ac 0.8055 0.8742 0.8598
Th 0.3120 0.3790 0.8675
Th 0.3120 0.6210 0.3675
Th 0.6880 0.3790 0.6325
Th 0.6880 0.6210 0.1325
Sn 0.1716 0.3766 0.5967
Sn 0.1716 0.6234 0.0967
Sn 0.3347 0.1255 0.4167
Sn 0.3347 0.8745 0.9167
Sn 0.6653 0.1255 0.0833
Sn 0.6653 0.8745 0.5833
Sn 0.8284 0.3766 0.9033
Sn 0.8284 0.6234 0.4033
CELL_PARAMETERS angstrom
6.5524 0.0000 0.0000
0.0000 6.5802 0.0000
-3.2877 0.0000 12.1345
! DFT formation energy ... -2.37 eV/f.u.


Repeat the fifth record exactly.
! Ac4ThSn5 | the Alexandria database | PBE | relaxed; values from VASP
&SYSTEM
  ibrav = 0, nat = 10, ntyp = 3
/
ATOMIC_SPECIES
Ac 227.00 Ac.upf
Th 232.04 Th.upf
Sn 118.71 Sn.upf
ATOMIC_POSITIONS crystal
Ac 0.0000 0.0000 0.1014
Ac 0.0000 0.0000 0.3047
Ac 0.0000 0.0000 0.6953
Ac 0.0000 0.0000 0.8986
Th 0.0000 0.0000 0.5000
Sn 0.5000 0.5000 0.0000
Sn 0.5000 0.5000 0.2036
Sn 0.5000 0.5000 0.4072
Sn 0.5000 0.5000 0.5928
Sn 0.5000 0.5000 0.7964
CELL_PARAMETERS angstrom
3.7698 0.0000 0.0000
0.0000 3.7698 0.0000
0.0000 0.0000 22.9664
! DFT formation energy ... -5.83 eV/f.u.